# SrTiFeBiO6 (meta-GGA SCAN, single point on PBEsol structure)
data_SrTiFeBiO6
_symmetry_space_group_name_H-M 'R 3'
_symmetry_Int_Tables_number 146
_symmetry_space_group_name_Hall 'R 3'
_cell_length_a 5.4273
_cell_length_b 5.4273
_cell_length_c 13.3650
_cell_angle_alpha 90.00
_cell_angle_beta 90.00
_cell_angle_gamma 120.00
loop_
_atom_site_label
_atom_site_fract_x
_atom_site_fract_y
_atom_site_fract_z
Sr1 0.0000 0.0000 0.0000
Ti1 0.0000 0.0000 0.7515
Fe1 0.0000 0.0000 0.2414
Bi1 0.0000 0.0000 0.5222
O1 0.1325 0.3383 0.8264
O2 0.1411 0.8000 0.3169
# **V**: 11.36 A^3/atom
# **E_form (uncorrected)**: -2336 meV per atom
# **Uncorrected energy**: -19.58 eV/atom